# Li2TeAu PBE-GGA relaxed
data_Li2TeAu
_chemical_formula_sum 'Li8 Te4 Au4'
_space_group_name_H-M_alt 'P 1'
_space_group_IT_number 1
_cell_length_a 6.859
_cell_length_b 6.859
_cell_length_c 6.859
_cell_angle_alpha 90.00
_cell_angle_beta 90.00
_cell_angle_gamma 90.00
loop_
_space_group_symop_operation_xyz
'x,y,z'
loop_
_atom_site_label
_atom_site_fract_x
_atom_site_fract_y
_atom_site_fract_z
Li1 0.000 0.000 0.000
Li2 0.000 0.500 0.500
Li3 0.250 0.250 0.250
Li4 0.250 0.750 0.750
Li5 0.500 0.000 0.500
Li6 0.500 0.500 0.000
Li7 0.750 0.250 0.750
Li8 0.750 0.750 0.250
Te1 0.000 0.000 0.500
Te2 0.000 0.500 0.000
Te3 0.500 0.000 0.000
Te4 0.500 0.500 0.500
Au1 0.250 0.250 0.750
Au2 0.250 0.750 0.250
Au3 0.750 0.250 0.250
Au4 0.750 0.750 0.750
# total moment = 0.000 μB per atom
# final energy = -3.001 eV per atom
# raw formation energy = -439 meV per atom

# LiDyH PBE-GGA relaxed
data_LiDyH
_chemical_formula_sum 'Li1 Dy1 H1'
_space_group_name_H-M_alt 'P 1'
_space_group_IT_number 1
_cell_length_a 3.331
_cell_length_b 3.331
_cell_length_c 5.687
_cell_angle_alpha 90.00
_cell_angle_beta 90.00
_cell_angle_gamma 120.00
loop_
_space_group_symop_operation_xyz
'x,y,z'
loop_
_atom_site_label
_atom_site_fract_x
_atom_site_fract_y
_atom_site_fract_z
Li1 0.000 0.000 0.000
Dy1 0.667 0.333 0.514
H1 0.333 0.667 0.732
# total moment = 0.000 μB per atom
# final energy = -3.368 eV per atom

# Pu2ThPt3 PBE-GGA relaxed
data_Pu2ThPt3
_chemical_formula_sum 'Pu4 Th2 Pt6'
_space_group_name_H-M_alt 'P 1'
_space_group_IT_number 1
_cell_length_a 4.149
_cell_length_b 5.822
_cell_length_c 12.345
_cell_angle_alpha 90.00
_cell_angle_beta 90.00
_cell_angle_gamma 90.00
loop_
_space_group_symop_operation_xyz
'x,y,z'
loop_
_atom_site_label
_atom_site_fract_x
_atom_site_fract_y
_atom_site_fract_z
Pu1 0.000 0.000 0.165
Pu2 0.000 0.000 0.835
Pu3 0.500 0.500 0.335
Pu4 0.500 0.500 0.665
Th1 0.000 0.000 0.500
Th2 0.500 0.500 0.000
Pt1 0.000 0.500 0.168
Pt2 0.000 0.500 0.500
Pt3 0.000 0.500 0.832
Pt4 0.500 0.000 0.000
Pt5 0.500 0.000 0.332
Pt6 0.500 0.000 0.668
# total moment = 1.738 μB per atom
# final energy = -9.925 eV per atom
# energy of formation = -0.891 eV per atom